1.
An optimized crystal structure of TaBeAgRu2. Source: Alexandria via LeMat-Bulk, functional PBE.

Calculated values
Size of the total moment: 0.0 μB/f.u.
Formation energy: 329 meV/atom
Energy: -7.067 eV/atom
Excess energy over the best structure of this formula in the dataset: 0.0 meV/atom
Crystal system: tetragonal
Density: 11.4 g cm⁻³

Cell lengths 4.230, 4.230, 4.071 Å; angles 90.00, 90.00, 90.00 degrees
Space group P4/mmm (No. 123)
One atom of each set of equivalent atoms:
1 Ta 0.000 0.000 0.000 (multiplicity 1)
2 Be 0.500 0.500 0.500 (multiplicity 1)
3 Ag 0.500 0.500 0.000 (multiplicity 1)
4 Ru 0.000 0.500 0.500 (multiplicity 2)

=====

2.
An optimized crystal structure of TbDy3Tm2As6. Source: Alexandria via LeMat-Bulk, functional PBE.

Calculated values
Size of the total moment: 0.0 μB/f.u.
Formation energy: -1526 meV/atom
Energy: -6.132 eV/atom
Crystal system: monoclinic
Density: 8.1 g cm⁻³

Cell lengths 7.109, 12.310, 7.107 Å; angles 90.00, 109.45, 90.00 degrees
Space group C2/m (No. 12)
One atom of each set of equivalent atoms:
1 Tb 0.000 0.000 0.000 (multiplicity 2)
2 Dy 0.000 0.166 0.500 (multiplicity 4)
3 Dy 0.000 0.500 0.500 (multiplicity 2)
4 Tm 0.000 0.333 0.000 (multiplicity 4)
5 As 0.247 0.500 0.248 (multiplicity 4)
6 As 0.249 0.332 0.752 (multiplicity 8)

=====

3.
An optimized crystal structure of LiMnHg2. Source: Alexandria via LeMat-Bulk, functional PBE.

Calculated values
Size of the total moment: 4.1 μB/f.u.
Formation energy: 37 meV/atom
Energy: -2.884 eV/atom
Crystal system: monoclinic
Density: 10.2 g cm⁻³

Cell lengths 10.019, 3.181, 4.830 Å; angles 90.00, 100.62, 90.00 degrees
Space group Cm (No. 8)
One atom of each set of equivalent atoms:
1 Li 0.000 0.000 0.000 (multiplicity 2)
2 Mn 0.248 0.000 0.670 (multiplicity 2)
3 Hg 0.006 0.500 0.518 (multiplicity 2)
4 Hg 0.245 0.500 0.160 (multiplicity 2)

=====

4.
An optimized crystal structure of Rb4Sn5Pd. Source: Alexandria via LeMat-Bulk, functional PBE.

Calculated values
Size of the total moment: 0.0 μB/f.u.
Formation energy: -227 meV/atom
Energy: -3.135 eV/atom
Crystal system: tetragonal
Density: 4.3 g cm⁻³

Cell lengths 10.916, 10.916, 6.728 Å; angles 90.00, 90.00, 90.00 degrees
Space group I4mm (No. 107)
One atom of each set of equivalent atoms:
1 Rb 0.000 0.296 0.000 (multiplicity 8)
2 Sn 0.000 0.000 0.204 (multiplicity 2)
3 Sn 0.141 0.141 0.522 (multiplicity 8)
4 Pd 0.000 0.000 0.792 (multiplicity 2)

=====

5.
An optimized crystal structure of IrW2Au. Source: Alexandria via LeMat-Bulk, functional PBE.

Calculated values
Size of the total moment: 0.0 μB/f.u.
Formation energy: 258 meV/atom
Energy: -9.254 eV/atom
Excess energy over the best structure of this formula in the dataset: 156.1 meV/atom
Crystal system: tetragonal
Density: 19.7 g cm⁻³

Cell lengths 4.027, 4.027, 7.866 Å; angles 90.00, 90.00, 90.00 degrees
Space group I-4m2 (No. 119)
One atom of each set of equivalent atoms:
1 Ir 0.000 0.000 0.000 (multiplicity 2)
2 W 0.000 0.000 0.500 (multiplicity 2)
3 W 0.000 0.500 0.750 (multiplicity 2)
4 Au 0.000 0.500 0.250 (multiplicity 2)

=====

6.
An optimized crystal structure of RbTc2Os. Source: Alexandria via LeMat-Bulk, functional PBE.

Calculated values
Size of the total moment: 0.0 μB/f.u.
Formation energy: 1645 meV/atom
Energy: -6.587 eV/atom
Excess energy over the best structure of this formula in the dataset: 0.0 meV/atom
Crystal system: tetragonal
Density: 8.7 g cm⁻³

Cell lengths 7.494, 7.494, 6.383 Å; angles 90.00, 90.00, 90.00 degrees
Space group I-42d (No. 122)
One atom of each set of equivalent atoms:
1 Rb 0.000 0.000 0.000 (multiplicity 4)
2 Tc 0.173 0.250 0.625 (multiplicity 8)
3 Os 0.000 0.000 0.500 (multiplicity 4)

=====

7.
An optimized crystal structure of Nb2PbS. Source: Alexandria via LeMat-Bulk, functional PBE.

Calculated values
Size of the total moment: 0.0 μB/f.u.
Energy: -6.826 eV/atom
Excess energy over the best structure of this formula in the dataset: 0.0 meV/atom
Crystal system: cubic
Formation energy without anion corrections: 0.67 eV/f.u.
Density: 9.5 g cm⁻³

Cell lengths 6.666, 6.666, 6.666 Å; angles 90.00, 90.00, 90.00 degrees
Space group Fm-3m (No. 225)
One atom of each set of equivalent atoms:
1 Nb 0.250 0.250 0.250 (multiplicity 8)
2 Pb 0.000 0.000 0.000 (multiplicity 4)
3 S 0.000 0.000 0.500 (multiplicity 4)

=====

8.
An optimized crystal structure of SmHo4Er. Source: Alexandria via LeMat-Bulk, functional PBE.

Calculated values
Size of the total moment: 0.8 μB/f.u.
Formation energy: 274 meV/atom
Energy: -4.325 eV/atom
Excess energy over the best structure of this formula in the dataset: 272.1 meV/atom
Crystal system: cubic
Density: 8.2 g cm⁻³

Cell lengths 9.254, 9.254, 9.254 Å; angles 90.00, 90.00, 90.00 degrees
Space group F-43m (No. 216)
One atom of each set of equivalent atoms:
1 Sm 0.000 0.000 0.000 (multiplicity 4)
2 Ho 0.125 0.125 0.375 (multiplicity 16)
3 Er 0.250 0.250 0.750 (multiplicity 4)

=====

9.
An optimized crystal structure of Mg2AuBr. Source: Alexandria via LeMat-Bulk, functional PBE.

Calculated values
Size of the total moment: 0.0 μB/f.u.
Energy: -2.524 eV/atom
Excess energy over the best structure of this formula in the dataset: 182.8 meV/atom
Crystal system: tetragonal
Formation energy without anion corrections: -1.96 eV/f.u.
Density: 5.5 g cm⁻³

Cell lengths 7.293, 7.293, 7.336 Å; angles 90.00, 90.00, 90.00 degrees
Space group I-42d (No. 122)
One atom of each set of equivalent atoms:
1 Mg 0.236 0.250 0.125 (multiplicity 8)
2 Au 0.000 0.000 0.000 (multiplicity 4)
3 Br 0.000 0.000 0.500 (multiplicity 4)

=====

10.
An optimized crystal structure of YEr2Zr3N6. Source: Alexandria via LeMat-Bulk, functional PBE.

Calculated values
Size of the total moment: 0.0 μB/f.u.
Energy: -9.347 eV/atom
Crystal system: monoclinic
Formation energy without anion corrections: -20.98 eV/f.u.
Density: 8.2 g cm⁻³

Cell lengths 5.775, 9.985, 5.818 Å; angles 90.00, 109.36, 90.00 degrees
Space group C2/m (No. 12)
One atom of each set of equivalent atoms:
1 Y 0.000 0.000 0.000 (multiplicity 2)
2 Er 0.000 0.333 0.000 (multiplicity 4)
3 Zr 0.000 0.167 0.500 (multiplicity 4)
4 Zr 0.000 0.500 0.500 (multiplicity 2)
5 N 0.244 0.332 0.736 (multiplicity 8)
6 N 0.248 0.000 0.736 (multiplicity 4)

=====

11.
An optimized crystal structure of TmMn3Fe3. Source: Alexandria via LeMat-Bulk, functional PBE.

Calculated values
Size of the total moment: 1.0 μB/f.u.
Formation energy: 615 meV/atom
Energy: -7.580 eV/atom
Crystal system: cubic
Density: 7.6 g cm⁻³

Cell lengths 6.034, 6.034, 6.034 Å; angles 90.00, 90.00, 90.00 degrees
Space group Pm-3n (No. 223)
One atom of each set of equivalent atoms:
1 Tm 0.000 0.000 0.000 (multiplicity 2)
2 Mn 0.000 0.250 0.500 (multiplicity 6)
3 Fe 0.000 0.500 0.250 (multiplicity 6)

=====

12.
An optimized crystal structure of CsPuS3. Source: Alexandria via LeMat-Bulk, functional PBE.

Calculated values
Size of the total moment: 3.0 μB/f.u.
Energy: -6.711 eV/atom
Excess energy over the best structure of this formula in the dataset: 42.1 meV/atom
Crystal system: orthorhombic
Formation energy without anion corrections: -5.99 eV/f.u.
Density: 5.2 g cm⁻³

Cell lengths 3.989, 5.160, 7.407 Å; angles 90.00, 90.00, 90.00 degrees
Space group Pmmm (No. 47)
One atom of each set of equivalent atoms:
1 Cs 0.000 0.000 0.000 (multiplicity 1)
2 Pu 0.000 0.500 0.500 (multiplicity 1)
3 S 0.000 0.000 0.500 (multiplicity 1)
4 S 0.500 0.500 0.268 (multiplicity 2)

=====

13.
An optimized crystal structure of Y2Ho4ErSc. Source: Alexandria via LeMat-Bulk, functional PBE.

Calculated values
Size of the total moment: 0.0 μB/f.u.
Formation energy: 37 meV/atom
Energy: -5.230 eV/atom
Crystal system: tetragonal
Density: 7.2 g cm⁻³

Cell lengths 4.954, 4.954, 9.899 Å; angles 90.00, 90.00, 90.00 degrees
Space group P4/mmm (No. 123)
One atom of each set of equivalent atoms:
1 Y 0.000 0.000 0.000 (multiplicity 1)
2 Y 0.500 0.500 0.500 (multiplicity 1)
3 Ho 0.000 0.500 0.246 (multiplicity 4)
4 Er 0.000 0.000 0.500 (multiplicity 1)
5 Sc 0.500 0.500 0.000 (multiplicity 1)

=====

14.
An optimized crystal structure of Ce4YN4. Source: Alexandria via LeMat-Bulk, functional PBE.

Calculated values
Size of the total moment: 0.0 μB/f.u.
Energy: -8.370 eV/atom
Crystal system: tetragonal
Formation energy without anion corrections: -11.83 eV/f.u.
Density: 7.4 g cm⁻³

Cell lengths 7.897, 7.897, 5.087 Å; angles 90.00, 90.00, 90.00 degrees
Space group I4/m (No. 87)
One atom of each set of equivalent atoms:
1 Ce 0.105 0.693 0.000 (multiplicity 8)
2 Y 0.000 0.000 0.500 (multiplicity 2)
3 N 0.096 0.703 0.500 (multiplicity 8)

=====

15.
An optimized crystal structure of Li2InHg7. Source: Alexandria via LeMat-Bulk, functional PBE.

Calculated values
Size of the total moment: 0.0 μB/f.u.
Formation energy: -114 meV/atom
Energy: -0.982 eV/atom
Excess energy over the best structure of this formula in the dataset: 0.0 meV/atom
Crystal system: trigonal
Density: 10.5 g cm⁻³

Cell lengths 4.8108, 4.8108, 12.1359 Å; angles 90.00, 90.00, 120.00 degrees
Space group P3m1 (No. 156)
One atom of each set of equivalent atoms:
1 Li 0.0000 0.0000 0.0000 (multiplicity 1)
2 Li 0.3333 0.6667 0.8414 (multiplicity 1)
3 In 0.6667 0.3333 0.3278 (multiplicity 1)
4 Hg 0.0000 0.0000 0.2217 (multiplicity 1)
5 Hg 0.0000 0.0000 0.5305 (multiplicity 1)
6 Hg 0.0000 0.0000 0.7788 (multiplicity 1)
7 Hg 0.3333 0.6667 0.0891 (multiplicity 1)
8 Hg 0.3333 0.6667 0.4369 (multiplicity 1)
9 Hg 0.6667 0.3333 0.6596 (multiplicity 1)
10 Hg 0.6667 0.3333 0.9358 (multiplicity 1)

=====

16.
An optimized crystal structure of CaIrCl. Source: Alexandria via LeMat-Bulk, functional PBE.

Calculated values
Size of the total moment: 0.6 μB/f.u.
Energy: -4.434 eV/atom
Excess energy over the best structure of this formula in the dataset: 1037.3 meV/atom
Crystal system: trigonal
Formation energy without anion corrections: -0.59 eV/f.u.
Density: 6.6 g cm⁻³

Cell lengths 3.2651, 3.2651, 7.2445 Å; angles 90.00, 90.00, 120.00 degrees
Space group P3m1 (No. 156)
One atom of each set of equivalent atoms:
1 Ca 0.0000 0.0000 0.0000 (multiplicity 1)
2 Ir 0.3333 0.6667 0.6914 (multiplicity 1)
3 Cl 0.6667 0.3333 0.2544 (multiplicity 1)

=====

17.
An optimized crystal structure of InMo. Source: Alexandria via LeMat-Bulk, functional PBE.

Calculated values
Size of the total moment: 0.0 μB/f.u.
Formation energy: 716 meV/atom
Energy: -6.069 eV/atom
Excess energy over the best structure of this formula in the dataset: 501.5 meV/atom
Crystal system: tetragonal
Density: 6.5 g cm⁻³

Cell lengths 11.483, 11.483, 3.245 Å; angles 90.00, 90.00, 90.00 degrees
Space group I4/m (No. 87)
One atom of each set of equivalent atoms:
1 In 0.039 0.186 0.000 (multiplicity 8)
2 Mo 0.185 0.711 0.000 (multiplicity 8)